Material: SrPmAu
Method: DFT, PBE-GGA
State: relaxed

It has space group P3m1 (No. 156), with a = 5.0101 Å, b = 5.0101 Å, c = 4.7113 Å, α = 90.00°, β = 90.00° and γ = 120.00°. The inequivalent atoms are Sr at (0.0000, 0.0000, 0.0000), Pm at (0.3333, 0.6667, 0.4949) and Au at (0.6667, 0.3333, 0.6052).

As for the crystal system: trigonal. The formation energy is -0.980 eV/f.u. The value obtained for the total energy is -10.7 eV/cell. As for the volume: 34.14 Å³/atom. The energy above the most stable polymorph in this dataset is 0.181 eV per atom.